Below is TlRe2As at its PBEsol-relaxed geometry, with properties calculated at the meta-GGA SCAN level.

ΔE_f in eV per atom: 0.97
Size of the total moment in μB per formula unit: 0.0
Energy above the most stable polymorph in this dataset in kJ/mol of atoms: 15.1
Total DFT energy (no corrections) in eV/atom: -57.712

Geometry as CIF:
```
data_TlRe2As
_space_group_name_H-M_alt 'P 1'
_space_group_IT_number 1
_cell_length_a 2.968
_cell_length_b 2.968
_cell_length_c 8.689
_cell_angle_alpha 90.00
_cell_angle_beta 90.00
_cell_angle_gamma 118.49
loop_
_space_group_symop_operation_xyz
'x,y,z'
loop_
_atom_site_label
_atom_site_type_symbol
_atom_site_fract_x
_atom_site_fract_y
_atom_site_fract_z
_atom_site_occupancy
Re1 Re 0.000 0.000 0.221 1
Re2 Re 0.000 0.000 0.779 1
Tl1 Tl 0.500 0.500 0.500 1
As1 As 0.500 0.500 0.000 1
```